4
Lattice="3.872 0.000 0.000 1.936 3.353 0.000 1.936 1.118 8.215" Properties=species:S:1:pos:R:3 comment="Lu2PtPb | the Alexandria database | PBE | relaxed" rho_g_cm3=11.71 e_form_mev_per_atom=-772 final_energy_ev_per_cell=-21.88 pbc="T T T"
Lu 5.808 3.353 6.609
Lu 1.936 1.118 1.605
Pt 0.000 0.000 0.000
Pb 3.872 2.235 4.107